Compound: LuCuPtPb
Source: OQMD via LeMat-Bulk
Functional: GGA-PBE
Structure: relaxed

```
LuCuPtPb
1.0
0.0000 3.3940 3.3940
3.3940 0.0000 3.3940
3.3940 3.3940 0.0000
Lu Cu Pt Pb
1 1 1 1
direct
0.0000 0.0000 0.0000
0.7500 0.7500 0.7500
0.2500 0.2500 0.2500
0.5000 0.5000 0.5000
```



Compound: LuCuRePb
Source: OQMD via LeMat-Bulk
Functional: GGA-PBE
Structure: relaxed

```
LuCuRePb
1.0
0.0000 3.3879 3.3879
3.3879 0.0000 3.3879
3.3879 3.3879 0.0000
Lu Cu Re Pb
1 1 1 1
direct
0.0000 0.0000 0.0000
0.5000 0.5000 0.5000
0.7500 0.7500 0.7500
0.2500 0.2500 0.2500
```



It is found that the distance to the lowest polymorph of the same formula values, taken in the order of the records, are 0; 237 meV per atom.